[1]
{
  "formula": "K2BaSmF8",
  "functional": "PBE",
  "state": "optimized geometry",
  "lattice": [[-2.760, -5.015, -2.186], [5.444, -2.277, -1.653], [-0.814, 1.023, 7.271]],
  "species": ["K", "K", "Ba", "Sm", "F", "F", "F", "F", "F", "F", "F", "F"],
  "frac_coords": [[0.750, 0.250, 0.500], [0.000, 0.000, 0.000], [0.500, 0.500, 0.000], [0.250, 0.750, 0.500], [0.146, 0.638, 0.729], [0.584, 0.638, 0.729], [0.362, 0.416, 0.271], [0.909, 0.854, 0.271], [0.583, 0.091, 0.729], [0.362, 0.854, 0.271], [0.146, 0.091, 0.729], [0.909, 0.417, 0.271]],
  "spacegroup": "I-4m2 (119)",
  "vol_a3_per_cell": 224.66,
  "raw_formation_energy_mev_per_atom": -3270,
  "n_ef_per_ev_atom": 1.251
}

[2]
{
  "formula": "SmFeSi3Rh",
  "functional": "PBE",
  "state": "optimized geometry",
  "lattice": [[-3.202, -4.322, 1.058], [0.261, -1.876, -6.873], [4.371, -2.149, 4.450]],
  "species": ["Sm", "Sm", "Fe", "Fe", "Si", "Si", "Si", "Si", "Si", "Si", "Rh", "Rh"],
  "frac_coords": [[0.750, 0.239, 0.477], [0.250, 0.761, 0.523], [0.250, 0.045, 0.090], [0.750, 0.955, 0.910], [0.250, 0.233, 0.467], [0.000, 0.244, 0.000], [0.500, 0.756, 0.000], [0.500, 0.244, 0.000], [0.000, 0.756, 0.000], [0.750, 0.767, 0.533], [0.250, 0.432, 0.863], [0.750, 0.568, 0.137]],
  "spacegroup": "Cmcm (63)",
  "vol_a3_per_cell": 216.95,
  "raw_formation_energy_mev_per_atom": -461,
  "n_ef_per_ev_atom": 0.556
}

[3]
{
  "formula": "CeTm2Au3",
  "functional": "PBE",
  "state": "optimized geometry",
  "lattice": [[3.555, 0.000, 0.000], [0.000, 3.555, 0.000], [0.000, 0.000, 11.058]],
  "species": ["Ce", "Tm", "Tm", "Au", "Au", "Au"],
  "frac_coords": [[0.500, 0.500, 0.500], [0.500, 0.500, 0.839], [0.500, 0.500, 0.161], [0.000, 0.000, 0.000], [0.000, 0.000, 0.687], [0.000, 0.000, 0.313]],
  "spacegroup": "P4/mmm (123)",
  "vol_a3_per_cell": 139.79,
  "delta_e_f_ev_per_fu": -4.78,
  "n_ef_per_ev_atom": 1.399
}

[4]
{
  "formula": "TaAsCl2",
  "functional": "PBE",
  "state": "optimized geometry",
  "lattice": [[5.169, -0.018, 0.000], [1.900, 4.807, 0.000], [-3.535, -2.394, 2.914]],
  "species": ["As", "Cl", "Cl", "Ta"],
  "frac_coords": [[0.750, 0.250, 0.500], [0.000, 0.000, 0.000], [0.500, 0.500, 0.000], [0.250, 0.750, 0.500]],
  "spacegroup": "I4/mmm (139)",
  "vol_a3_per_cell": 72.50,
  "raw_formation_energy_mev_per_atom": 498,
  "n_ef_per_ev_atom": 0.761
}

[5]
{
  "formula": "CaGa2Cl4",
  "functional": "PBE",
  "state": "optimized geometry",
  "lattice": [[5.424, 0.000, 0.000], [0.000, 5.424, 0.000], [-2.712, -2.712, 7.417]],
  "species": ["Ca", "Ga", "Ga", "Cl", "Cl", "Cl", "Cl"],
  "frac_coords": [[0.000, 0.000, 0.000], [0.642, 0.642, 0.284], [0.358, 0.358, 0.716], [0.816, 0.816, 0.632], [0.184, 0.184, 0.368], [0.000, 0.500, 0.000], [0.500, 0.000, 0.000]],
  "spacegroup": "I4/mmm (139)",
  "vol_a3_per_cell": 218.23,
  "raw_formation_energy_mev_per_atom": -1356,
  "n_ef_per_ev_atom": 0.000
}

[6]
{
  "formula": "KScSb2",
  "functional": "PBE",
  "state": "optimized geometry",
  "lattice": [[-1.154, 5.713, 0.431], [-1.666, -0.547, 2.794], [4.905, 0.757, 3.090]],
  "species": ["K", "Sb", "Sb", "Sc"],
  "frac_coords": [[0.500, 0.690, 0.875], [0.000, 0.170, 0.876], [0.500, 0.169, 0.375], [0.000, 0.471, 0.375]],
  "spacegroup": "Pm (6)",
  "vol_a3_per_cell": 112.69,
  "raw_formation_energy_mev_per_atom": -279,
  "n_ef_per_ev_atom": 0.679
}